No. 1
Density functional theory data (PBEsol) for a relaxed RbTl2Pd2 crystal.

Cell and atoms, written as CIF:
```
data_RbTl2Pd2
_symmetry_space_group_name_H-M 'I 4/m m m'
_symmetry_Int_Tables_number 139
_symmetry_space_group_name_Hall '-I 4 2'
_cell_length_a 4.837
_cell_length_b 4.837
_cell_length_c 10.843
_cell_angle_alpha 90.00
_cell_angle_beta 90.00
_cell_angle_gamma 90.00
loop_
_atom_site_label
_atom_site_type_symbol
_atom_site_fract_x
_atom_site_fract_y
_atom_site_fract_z
Rb1 Rb 0.000 0.000 0.000
Tl1 Tl 0.000 0.500 0.250
Pd1 Pd 0.000 0.000 0.378
```

Computed properties:
ΔE_f = -0.3 eV/f.u.
D(E_F) = 3.75 states/eV/cell

---

No. 2
Density functional theory data (PBEsol) for a relaxed HfZrFe2 crystal.

Cell and atoms, written as CIF:
```
data_HfZrFe2
_symmetry_space_group_name_H-M 'F m -3 m'
_symmetry_Int_Tables_number 225
_symmetry_space_group_name_Hall '-F 4 2 3'
_cell_length_a 6.207
_cell_length_b 6.207
_cell_length_c 6.207
_cell_angle_alpha 90.00
_cell_angle_beta 90.00
_cell_angle_gamma 90.00
loop_
_atom_site_label
_atom_site_type_symbol
_atom_site_fract_x
_atom_site_fract_y
_atom_site_fract_z
Hf1 Hf 0.000 0.000 0.000
Zr1 Zr 0.000 0.000 0.500
Fe1 Fe 0.250 0.250 0.250
```

Computed properties:
ΔE_f = -1.1 eV/f.u.
D(E_F) = 6.34 states/eV/cell

---

No. 3
Density functional theory data (PBEsol) for a relaxed La2OsI crystal.

Cell and atoms, written as CIF:
```
data_La2OsI
_symmetry_space_group_name_H-M 'F m -3 m'
_symmetry_Int_Tables_number 225
_symmetry_space_group_name_Hall '-F 4 2 3'
_cell_length_a 7.426
_cell_length_b 7.426
_cell_length_c 7.426
_cell_angle_alpha 90.00
_cell_angle_beta 90.00
_cell_angle_gamma 90.00
loop_
_atom_site_label
_atom_site_type_symbol
_atom_site_fract_x
_atom_site_fract_y
_atom_site_fract_z
La1 La 0.250 0.250 0.250
Os1 Os 0.000 0.000 0.000
I1 I 0.000 0.000 0.500
```

Computed properties:
D(E_F) = 15.02 states/eV/cell
Raw formation energy = -59 kJ/mol of formula units

---

No. 4
Density functional theory data (PBEsol) for a relaxed MnIn2Au crystal.

Cell and atoms, written as CIF:
```
data_MnIn2Au
_symmetry_space_group_name_H-M 'P 1 m 1'
_symmetry_Int_Tables_number 6
_cell_length_a 3.324
_cell_length_b 4.338
_cell_length_c 5.526
_cell_angle_alpha 90.00
_cell_angle_beta 106.09
_cell_angle_gamma 90.00
loop_
_symmetry_equiv_pos_as_xyz
'x,y,z'
'x,-y,z'
loop_
_atom_site_label
_atom_site_type_symbol
_atom_site_fract_x
_atom_site_fract_y
_atom_site_fract_z
Mn1 Mn 0.000 0.000 0.000
In1 In 0.429 0.500 0.841
In2 In 0.724 0.000 0.475
Au1 Au 0.146 0.500 0.299
```

Computed properties:
ΔE_f = 0.4 eV/f.u.
D(E_F) = 2.98 states/eV/cell
E above lowest polymorph = 0.00 kcal/mol of atoms

---

No. 5
Density functional theory data (PBEsol) for a relaxed MgCd3Se crystal.

Cell and atoms, written as CIF:
```
data_MgCd3Se
_symmetry_space_group_name_H-M 'P m -3 m'
_symmetry_Int_Tables_number 221
_symmetry_space_group_name_Hall '-P 4 2 3'
_cell_length_a 5.311
_cell_length_b 5.311
_cell_length_c 5.311
_cell_angle_alpha 90.00
_cell_angle_beta 90.00
_cell_angle_gamma 90.00
loop_
_atom_site_label
_atom_site_type_symbol
_atom_site_fract_x
_atom_site_fract_y
_atom_site_fract_z
Mg1 Mg 0.000 0.000 0.000
Cd1 Cd 0.000 0.500 0.500
Se1 Se 0.500 0.500 0.500
```

Computed properties:
D(E_F) = 2.91 states/eV/cell
Raw formation energy = 186 kJ/mol of formula units

---

No. 6
Density functional theory data (PBEsol) for a relaxed YScMo4 crystal.

Cell and atoms, written as CIF:
```
data_YScMo4
_symmetry_space_group_name_H-M 'F -4 3 m'
_symmetry_Int_Tables_number 216
_symmetry_space_group_name_Hall 'F -4 2 3'
_cell_length_a 7.609
_cell_length_b 7.609
_cell_length_c 7.609
_cell_angle_alpha 90.00
_cell_angle_beta 90.00
_cell_angle_gamma 90.00
loop_
_atom_site_label
_atom_site_type_symbol
_atom_site_fract_x
_atom_site_fract_y
_atom_site_fract_z
Y1 Y 0.000 0.000 0.000
Sc1 Sc 0.250 0.250 0.750
Mo1 Mo 0.125 0.125 0.375
```

Computed properties:
ΔE_f = 0.4 eV/f.u.
D(E_F) = 24.89 states/eV/cell

---

No. 7
Density functional theory data (PBEsol) for a relaxed GaReCl3 crystal.

Cell and atoms, written as CIF:
```
data_GaReCl3
_symmetry_space_group_name_H-M 'P m -3 m'
_symmetry_Int_Tables_number 221
_symmetry_space_group_name_Hall '-P 4 2 3'
_cell_length_a 4.791
_cell_length_b 4.791
_cell_length_c 4.791
_cell_angle_alpha 90.00
_cell_angle_beta 90.00
_cell_angle_gamma 90.00
loop_
_atom_site_label
_atom_site_type_symbol
_atom_site_fract_x
_atom_site_fract_y
_atom_site_fract_z
Ga1 Ga 0.000 0.000 0.000
Re1 Re 0.500 0.500 0.500
Cl1 Cl 0.000 0.500 0.500
```

Computed properties:
D(E_F) = 2.27 states/eV/cell
Raw formation energy = 50 kJ/mol of formula units

---

No. 8
Density functional theory data (PBEsol) for a relaxed EuBrO crystal.

Cell and atoms, written as CIF:
```
data_EuBrO
_symmetry_space_group_name_H-M 'P 4/n m m'
_symmetry_Int_Tables_number 129
_cell_length_a 3.924
_cell_length_b 3.924
_cell_length_c 7.735
_cell_angle_alpha 90.00
_cell_angle_beta 90.00
_cell_angle_gamma 90.00
loop_
_symmetry_equiv_pos_as_xyz
'x,y,z'
'-x,-y,-z'
'-y+1/2,x,z'
'y+1/2,-x,-z'
'-x+1/2,-y+1/2,z'
'x+1/2,y+1/2,-z'
'y,-x+1/2,z'
'-y,x+1/2,-z'
'x+1/2,-y,-z'
'-x+1/2,y,z'
'-y,-x,-z'
'y,x,z'
'-x,y+1/2,-z'
'x,-y+1/2,z'
'y+1/2,x+1/2,-z'
'-y+1/2,-x+1/2,z'
loop_
_atom_site_label
_atom_site_type_symbol
_atom_site_fract_x
_atom_site_fract_y
_atom_site_fract_z
Eu1 Eu 0.250 0.250 0.153
Br1 Br 0.250 0.250 0.649
O1 O 0.250 0.750 0.000
```

Computed properties:
D(E_F) = 11.38 states/eV/cell
Raw formation energy = -703 kJ/mol of formula units

---

no.,size of the total moment (Bohr magnetons per cell)
1,0.00
2,0.01
3,0.00
4,3.34
5,0.00
6,0.00
7,2.27
8,12.00